(1)
A plane-wave DFT calculation with PBE was carried out for crystalline HfMnHg at its relaxed geometry.

Values from the calculation:
SG	No. 166
D(E_F)	3.23	states/eV/f.u.
formation energy from the elements	0.317	eV/atom
raw total energy	-6.158	eV per atom
magnetic moment	4.94	μB/cell

Cell and atoms, written as POSCAR:
```
HfMnHg
1.0
4.8469 0.0000 0.0000
2.4234 4.1975 0.0000
2.4234 1.3992 6.0426
Hf Hg Mn
2 2 2
Direct
0.6247 0.6247 0.1259
0.3753 0.3753 0.8741
0.0863 0.0863 0.7410
0.9137 0.9137 0.2590
0.2328 0.2328 0.3015
0.7672 0.7672 0.6985
```

=====

(2)
A plane-wave DFT calculation with PBE was carried out for crystalline Hf3MnHg at its relaxed geometry.

Values from the calculation:
SG	No. 221
D(E_F)	4.52	states/eV/f.u.
formation energy from the elements	1.378	eV/atom
raw total energy	-6.488	eV per atom
energy above the lowest structure with this stoichiometry	1030	meV per atom
magnetic moment	4.82	μB/cell

Cell and atoms, written as POSCAR:
```
Hf3MnHg
1.0
-3.7421 1.7454 3.1448
-0.7001 -4.8049 1.8337
3.5279 0.8979 3.6997
Hf Mn Hg
3 1 1
Direct
0.0000 0.0000 0.5000
0.5000 0.0000 0.0000
0.0000 0.5000 0.0000
0.5000 0.5000 0.5000
0.0000 0.0000 0.0000
```

=====

(3)
A plane-wave DFT calculation with PBE was carried out for crystalline HfMnHg3 at its relaxed geometry.

Values from the calculation:
SG	No. 221
D(E_F)	5.76	states/eV/f.u.
formation energy from the elements	0.836	eV/atom
raw total energy	-3.170	eV per atom
energy above the lowest structure with this stoichiometry	0	meV per atom
magnetic moment	3.06	μB/cell

Cell and atoms, written as POSCAR:
```
HfMnHg3
1.0
4.9530 0.0000 0.0000
0.0000 4.9530 0.0000
0.0000 0.0000 4.9530
Hg Mn Hf
3 1 1
Direct
0.5000 0.0000 0.0000
0.0000 0.5000 0.0000
0.0000 0.0000 0.5000
0.0000 0.0000 0.0000
0.5000 0.5000 0.5000
```